#one
# Mn3RhW, relaxed, DFT PBE
data_Mn3RhW
_symmetry_space_group_name_H-M 'P m -3 m'
_symmetry_Int_Tables_number 221
_symmetry_space_group_name_Hall '-P 4 2 3'
_cell_length_a 4.544
_cell_length_b 4.544
_cell_length_c 4.544
_cell_angle_alpha 90.00
_cell_angle_beta 90.00
_cell_angle_gamma 90.00
loop_
_atom_site_label
_atom_site_fract_x
_atom_site_fract_y
_atom_site_fract_z
Mn1 0.000 0.000 0.500
Rh1 0.500 0.500 0.500
W1 0.000 0.000 0.000
# magnetic moment = 1.7517 μB per atom
# DOS at the Fermi energy = 1.3019 states/eV/atom



#two
# Mn3RhW, relaxed, DFT PBE
data_Mn3RhW
_symmetry_space_group_name_H-M 'P m -3 m'
_symmetry_Int_Tables_number 221
_symmetry_space_group_name_Hall '-P 4 2 3'
_cell_length_a 4.324
_cell_length_b 4.324
_cell_length_c 4.324
_cell_angle_alpha 90.00
_cell_angle_beta 90.00
_cell_angle_gamma 90.00
loop_
_atom_site_label
_atom_site_fract_x
_atom_site_fract_y
_atom_site_fract_z
Mn1 0.000 0.000 0.500
Rh1 0.000 0.000 0.000
W1 0.500 0.500 0.500
# magnetic moment = 0.0001 μB per atom
# DOS at the Fermi energy = 2.4152 states/eV/atom



The most stable of them is #one.



#one
# MnRh4W, relaxed, DFT PBE
data_MnRh4W
_symmetry_space_group_name_H-M 'F d d d'
_symmetry_Int_Tables_number 70
_cell_length_a 5.479
_cell_length_b 8.935
_cell_length_c 14.569
_cell_angle_alpha 90.00
_cell_angle_beta 90.00
_cell_angle_gamma 90.00
loop_
_symmetry_equiv_pos_as_xyz
'x,y,z'
'-x,-y,-z'
'-x+1/4,-y+1/4,z'
'x+1/4,y+1/4,-z'
'x,-y+1/4,-z+1/4'
'-x,y+1/4,z+1/4'
'-x+1/4,y,-z+1/4'
'x+1/4,-y,z+1/4'
'x,y+1/2,z+1/2'
'-x,-y+1/2,-z+1/2'
'-x+1/4,-y+3/4,z+1/2'
'x+1/4,y+3/4,-z+1/2'
'x,-y+3/4,-z+3/4'
'-x,y+3/4,z+3/4'
'-x+1/4,y+1/2,-z+3/4'
'x+1/4,-y+1/2,z+3/4'
'x+1/2,y,z+1/2'
'-x+1/2,-y,-z+1/2'
'-x+3/4,-y+1/4,z+1/2'
'x+3/4,y+1/4,-z+1/2'
'x+1/2,-y+1/4,-z+3/4'
'-x+1/2,y+1/4,z+3/4'
'-x+3/4,y,-z+3/4'
'x+3/4,-y,z+3/4'
'x+1/2,y+1/2,z'
'-x+1/2,-y+1/2,-z'
'-x+3/4,-y+3/4,z'
'x+3/4,y+3/4,-z'
'x+1/2,-y+3/4,-z+1/4'
'-x+1/2,y+3/4,z+1/4'
'-x+3/4,y+1/2,-z+1/4'
'x+3/4,-y+1/2,z+1/4'
loop_
_atom_site_label
_atom_site_fract_x
_atom_site_fract_y
_atom_site_fract_z
Mn1 0.125 0.125 0.125
Rh1 0.121 0.374 0.530
W1 0.125 0.125 0.625
# magnetic moment = 0.3987 μB per atom
# DOS at the Fermi energy = 1.1587 states/eV/atom



#two
# MnRh4W, relaxed, DFT PBE
data_MnRh4W
_symmetry_space_group_name_H-M 'C 1 2/m 1'
_symmetry_Int_Tables_number 12
_cell_length_a 8.779
_cell_length_b 3.759
_cell_length_c 5.450
_cell_angle_alpha 90.00
_cell_angle_beta 108.39
_cell_angle_gamma 90.00
loop_
_symmetry_equiv_pos_as_xyz
'x,y,z'
'-x,-y,-z'
'-x,y,-z'
'x,-y,z'
'x+1/2,y+1/2,z'
'-x+1/2,-y+1/2,-z'
'-x+1/2,y+1/2,-z'
'x+1/2,-y+1/2,z'
loop_
_atom_site_label
_atom_site_fract_x
_atom_site_fract_y
_atom_site_fract_z
Mn1 0.000 0.000 0.000
Rh1 0.159 0.500 0.829
Rh2 0.165 0.500 0.330
W1 0.000 0.000 0.500
# magnetic moment = 0.3405 μB per atom
# DOS at the Fermi energy = 1.1165 states/eV/atom



The most stable of them is #two.